*1*
Below is a geometry-optimized CeBi2Pb structure, with properties calculated at the PBE-GGA level.

a = 3.447 Å, b = 3.447 Å, c = 12.852 Å
α = 82.29°, β = 82.29°, γ = 60.00°
Site moments in Bohr magnetons follow the coordinates.
Atoms (fractional coordinates):
Bi: 0.086 0.086 0.741  0.00
Bi: 0.914 0.914 0.259  0.00
Ce: 0.000 0.000 0.000  1.03
Pb: 0.500 0.500 0.500  0.01

Output
DOS(E_F): 7.11 states/eV per cell
Volume: 32.67 Å³/atom
Symmetry: R-3m, No. 166

***

*2*
Below is a geometry-optimized CeBi2Pb structure, with properties calculated at the PBE-GGA level.

a = 4.720 Å, b = 4.720 Å, c = 7.942 Å
α = 72.71°, β = 72.71°, γ = 60.00°
Site moments in Bohr magnetons follow the coordinates.
Atoms (fractional coordinates):
Bi: 0.259 0.259 0.224  -0.02
Bi: 0.078 0.078 0.766  -0.02
Pb: 0.496 0.496 0.512  -0.01
Ce: 0.667 0.667 0.998  0.29

Output
DOS(E_F): 3.39 states/eV per cell
Volume: 35.99 Å³/atom
Symmetry: R3m, No. 160

***

*3*
Below is a geometry-optimized CeBi2Pb structure, with properties calculated at the PBE-GGA level.

a = 4.592 Å, b = 5.129 Å, c = 5.129 Å
α = 90.00°, β = 90.00°, γ = 90.00°
Site moments in Bohr magnetons follow the coordinates.
Atoms (fractional coordinates):
Bi: 0.000 0.000 0.500  -0.02
Bi: 0.000 0.500 0.000  -0.02
Pb: 0.500 0.000 0.000  0.00
Ce: 0.500 0.500 0.500  0.59

Output
DOS(E_F): 5.29 states/eV per cell
Volume: 30.20 Å³/atom
Symmetry: P4/mmm, No. 123

***

*4*
Below is a geometry-optimized CeBi2Pb structure, with properties calculated at the PBE-GGA level.

a = 4.278 Å, b = 4.278 Å, c = 6.789 Å
α = 90.00°, β = 90.00°, γ = 90.00°
Site moments in Bohr magnetons follow the coordinates.
Atoms (fractional coordinates):
Bi: 0.000 0.000 0.262  -0.01
Bi: 0.000 0.000 0.738  -0.01
Ce: 0.500 0.500 0.500  0.73
Pb: 0.500 0.500 0.000  0.01

Output
DOS(E_F): 5.84 states/eV per cell
Volume: 31.06 Å³/atom
Symmetry: P4/mmm, No. 123

***

Ordering by calculated energy gives the sequence *3*, *4*, *2*, *1*, with the first entry being the most stable.

***

*1*
Below is a geometry-optimized Ce4Bi5Pb structure, with properties calculated at the PBE-GGA level.

a = 4.612 Å, b = 4.612 Å, c = 16.755 Å
α = 97.91°, β = 97.91°, γ = 90.00°
Site moments in Bohr magnetons follow the coordinates.
Atoms (fractional coordinates):
Bi: 0.103 0.103 0.205  -0.04
Bi: 0.300 0.300 0.600  -0.04
Bi: 0.897 0.897 0.795  -0.04
Bi: 0.500 0.500 0.000  -0.02
Bi: 0.700 0.700 0.400  -0.04
Pb: 0.000 0.000 0.000  -0.01
Ce: 0.599 0.599 0.198  0.77
Ce: 0.401 0.401 0.802  0.77
Ce: 0.201 0.201 0.402  0.82
Ce: 0.799 0.799 0.598  0.82

Output
DOS(E_F): 26.96 states/eV per cell
Volume: 34.95 Å³/atom
Symmetry: I4/mmm, No. 139

***

*2*
Below is a geometry-optimized Ce4Bi5Pb structure, with properties calculated at the PBE-GGA level.

a = 4.927 Å, b = 9.049 Å, c = 9.243 Å
α = 60.52°, β = 105.46°, γ = 90.00°
Site moments in Bohr magnetons follow the coordinates.
Atoms (fractional coordinates):
Bi: 0.825 0.669 0.649  -0.03
Bi: 0.175 0.331 0.351  -0.03
Bi: 0.500 0.500 0.000  -0.03
Bi: 0.838 0.164 0.676  -0.03
Bi: 0.162 0.836 0.324  -0.03
Ce: 0.017 0.726 0.033  0.79
Ce: 0.666 0.089 0.332  0.87
Ce: 0.334 0.911 0.668  0.87
Ce: 0.983 0.274 0.967  0.79
Pb: 0.500 0.000 0.000  -0.02

Output
DOS(E_F): 26.06 states/eV per cell
Volume: 34.15 Å³/atom
Symmetry: C2/m, No. 12

***

Ordering by calculated energy gives the sequence *1*, *2*, with the first entry being the most stable.

***

*1*
Below is a geometry-optimized Ce2Bi3Pb structure, with properties calculated at the PBE-GGA level.

a = 4.574 Å, b = 4.574 Å, c = 8.952 Å
α = 90.00°, β = 90.00°, γ = 90.00°
Site moments in Bohr magnetons follow the coordinates.
Atoms (fractional coordinates):
Ce: 0.500 0.000 0.705  0.30
Ce: 0.000 0.500 0.295  0.30
Pb: 0.500 0.500 0.000  0.01
Bi: 0.500 0.000 0.341  -0.02
Bi: 0.000 0.000 0.000  -0.03
Bi: 0.000 0.500 0.659  -0.02

Output
DOS(E_F): 7.50 states/eV per cell
Volume: 31.21 Å³/atom
Symmetry: P-4m2, No. 115

***

*2*
Below is a geometry-optimized Ce2Bi3Pb structure, with properties calculated at the PBE-GGA level.

a = 4.635 Å, b = 6.525 Å, c = 8.070 Å
α = 113.84°, β = 106.69°, γ = 90.00°
Site moments in Bohr magnetons follow the coordinates.
Atoms (fractional coordinates):
Bi: 0.676 0.676 0.353  -0.05
Bi: 0.324 0.324 0.647  -0.05
Bi: 0.000 0.000 0.000  -0.04
Ce: 0.664 0.164 0.327  0.58
Ce: 0.336 0.836 0.673  0.58
Pb: 0.000 0.500 0.000  -0.01

Output
DOS(E_F): 8.37 states/eV per cell
Volume: 35.32 Å³/atom
Symmetry: Immm, No. 71

***

Ordering by calculated energy gives the sequence *1*, *2*, with the first entry being the most stable.

***

*1*
Below is a geometry-optimized Ce2BiPd2 structure, with properties calculated at the PBE-GGA level.

a = 4.986 Å, b = 4.986 Å, c = 6.034 Å
α = 65.60°, β = 65.60°, γ = 60.00°
Site moments in Bohr magnetons follow the coordinates.
Atoms (fractional coordinates):
Ce: 0.285 0.285 0.145  0.84
Ce: 0.715 0.715 0.855  0.84
Pd: 0.912 0.912 0.263  -0.02
Pd: 0.088 0.088 0.737  -0.02
Bi: 0.500 0.500 0.500  -0.02

Output
DOS(E_F): 12.06 states/eV per cell
Volume: 22.83 Å³/atom
Symmetry: R-3m, No. 166

***

*2*
Below is a geometry-optimized Ce2BiPd2 structure, with properties calculated at the PBE-GGA level.

a = 3.863 Å, b = 7.895 Å, c = 7.895 Å
α = 90.00°, β = 90.00°, γ = 90.00°
Site moments in Bohr magnetons follow the coordinates.
Atoms (fractional coordinates):
Bi: 0.500 0.000 0.500  -0.01
Bi: 0.500 0.500 0.000  -0.01
Ce: 0.000 0.176 0.176  0.59
Ce: 0.000 0.324 0.676  0.59
Ce: 0.000 0.676 0.324  0.59
Ce: 0.000 0.824 0.824  0.59
Pd: 0.500 0.125 0.875  -0.03
Pd: 0.500 0.625 0.625  -0.03
Pd: 0.500 0.375 0.375  -0.03
Pd: 0.500 0.875 0.125  -0.03

Output
DOS(E_F): 22.84 states/eV per cell
Volume: 24.08 Å³/atom
Symmetry: P4/mbm, No. 127

***

Ordering by calculated energy gives the sequence *2*, *1*, with the first entry being the most stable.

***

*1*
Below is a geometry-optimized CePrBi2 structure, with properties calculated at the PBE-GGA level.

a = 5.622 Å, b = 5.622 Å, c = 5.622 Å
α = 60.00°, β = 60.00°, γ = 60.00°
Site moments in Bohr magnetons follow the coordinates.
Atoms (fractional coordinates):
Ce: 0.000 0.000 0.000  0.90
Pr: 0.500 0.500 0.500  0.17
Bi: 0.750 0.750 0.750  -0.04
Bi: 0.250 0.250 0.250  -0.04

Output
DOS(E_F): 7.90 states/eV per cell
Volume: 31.42 Å³/atom
Symmetry: Fm-3m, No. 225

***

*2*
Below is a geometry-optimized CePrBi2 structure, with properties calculated at the PBE-GGA level.

a = 4.611 Å, b = 6.533 Å, c = 9.259 Å
α = 90.00°, β = 90.00°, γ = 90.00°
Site moments in Bohr magnetons follow the coordinates.
Atoms (fractional coordinates):
Ce: 0.000 0.500 0.875  0.81
Ce: 0.500 0.000 0.125  0.81
Pr: 0.000 0.500 0.376  0.01
Pr: 0.500 0.000 0.624  0.01
Bi: 0.500 0.500 0.629  -0.02
Bi: 0.000 0.000 0.371  -0.02
Bi: 0.000 0.000 0.878  -0.03
Bi: 0.500 0.500 0.122  -0.03

Output
DOS(E_F): 15.37 states/eV per cell
Volume: 34.86 Å³/atom
Symmetry: Pmmn, No. 59

***

Ordering by calculated energy gives the sequence *2*, *1*, with the first entry being the most stable.

***

*1*
Below is a geometry-optimized CePrBi2 structure, with properties calculated at the PBE-GGA level.

a = 3.450 Å, b = 5.997 Å, c = 5.997 Å
α = 90.00°, β = 90.00°, γ = 90.00°
Site moments in Bohr magnetons follow the coordinates.
Atoms (fractional coordinates):
Pr: 0.500 0.000 0.000  0.05
Ce: 0.500 0.500 0.500  0.93
Bi: 0.000 0.000 0.500  -0.03
Bi: 0.000 0.500 0.000  -0.03

Output
DOS(E_F): 7.42 states/eV per cell
Volume: 31.02 Å³/atom
Symmetry: P4/mmm, No. 123

***

*2*
Below is a geometry-optimized CePrBi2 structure, with properties calculated at the PBE-GGA level.

a = 4.780 Å, b = 4.477 Å, c = 13.002 Å
α = 99.91°, β = 90.00°, γ = 90.00°
Site moments in Bohr magnetons follow the coordinates.
Atoms (fractional coordinates):
Bi: 0.750 0.688 0.376  -0.04
Bi: 0.750 0.943 0.886  -0.01
Bi: 0.250 0.312 0.624  -0.04
Bi: 0.250 0.057 0.114  -0.01
Ce: 0.250 0.186 0.371  0.84
Ce: 0.750 0.814 0.629  0.84
Pr: 0.250 0.439 0.878  0.00
Pr: 0.750 0.561 0.122  0.00

Output
DOS(E_F): 15.06 states/eV per cell
Volume: 34.27 Å³/atom
Symmetry: Cmcm, No. 63

***

Ordering by calculated energy gives the sequence *2*, *1*, with the first entry being the most stable.